# 1
First-principles (PBE) data for an optimized crystal structure of Pm2CuOs, as listed in Alexandria.

Cell: 5.8355 4.2258 8.0393 Å, 90.00 110.72 90.00°
Closest atoms and distances in Å follow each position.
Element x y z (fractional)
Pm 0.2122 0.2500 0.4383  4 Os 2.99-3.15, 3 Cu 3.03-3.08
Pm 0.2234 0.2500 0.9195  3 Os 2.95-3.05, 4 Cu 3.00-3.17
Pm 0.7766 0.7500 0.0805  3 Os 2.95-3.05, 4 Cu 3.00-3.17
Pm 0.7878 0.7500 0.5617  4 Os 2.99-3.15, 3 Cu 3.03-3.08
Cu 0.3570 0.7500 0.2142  2 Os 2.60
Cu 0.6430 0.2500 0.7858  2 Os 2.60
Os 0.3642 0.7500 0.7190  2 Cu 2.60
Os 0.6358 0.2500 0.2810  2 Cu 2.60

Results
Formation energy, eV/atom: -0.15
Calculated total energy, eV/atom: -6.36
Total moment, Bohr magnetons per cell: 0.00
Polymorph energy (0 for the lowest one), eV/atom: 0.000



# 2
First-principles (PBE) data for an optimized crystal structure of Nd6Bi3As2Se, as listed in Alexandria.

Cell: 9.9315 9.9315 8.9074 Å, 103.48 103.48 25.70°
Closest atoms and distances in Å follow each position.
Element x y z (fractional)
Nd 0.0060 0.0060 0.2442  1 As 3.02, 2 Se 3.08, 3 Bi 3.20-3.22
Nd 0.3283 0.3283 0.4291  3 As 3.04-3.05, 3 Bi 3.23-3.24
Nd 0.3354 0.3354 0.9022  2 As 3.04, 1 Se 3.10, 3 Bi 3.21-3.23
Nd 0.6646 0.6646 0.0978  2 As 3.04, 1 Se 3.10, 3 Bi 3.21-3.23
Nd 0.6717 0.6717 0.5709  3 As 3.04-3.05, 3 Bi 3.23-3.24
Nd 0.9940 0.9940 0.7558  1 As 3.02, 2 Se 3.08, 3 Bi 3.20-3.22
Bi 0.1652 0.1652 0.8334  6 Nd 3.21-3.24
Bi 0.5000 0.5000 0.5000  6 Nd 3.20-3.23
Bi 0.8348 0.8348 0.1666  6 Nd 3.21-3.24
As 0.1666 0.1666 0.3325  6 Nd 3.02-3.05
As 0.8334 0.8334 0.6675  6 Nd 3.02-3.05
Se 0.5000 0.5000 0.0000  6 Nd 3.08-3.10

Results
Calculated total energy, eV/atom: -5.70
Uncorrected formation energy, meV/atom: -1281
Total moment, Bohr magnetons per cell: 0.00



# 3
First-principles (PBE) data for an optimized crystal structure of Tb5CeNdDy2, as listed in Alexandria.

Cell: 11.1577 11.1577 9.6115 Å, 90.00 90.00 150.29°
Closest atoms and distances in Å follow each position.
Element x y z (fractional)
Tb 0.0126 0.9874 0.5000  1 Dy 3.28, 2 Nd 3.50, 2 Tb 3.64
Tb 0.2666 0.7334 0.1808  1 Nd 3.07, 1 Dy 3.31, 1 Ce 3.37
Tb 0.3062 0.6938 0.7985  3 Ce 3.41-3.82, 5 Tb 3.45-3.77, 3 Dy 3.50-3.66, 1 Nd 3.50
Tb 0.3939 0.6061 0.4736  3 Tb 3.28-3.65, 4 Dy 3.33-3.55
Tb 0.4711 0.5289 0.7681  2 Nd 3.20-3.43, 3 Tb 3.28-3.57, 2 Dy 3.47
Tb 0.5289 0.4711 0.2681  2 Nd 3.20-3.43, 3 Tb 3.28-3.57, 2 Dy 3.47
Tb 0.6061 0.3939 0.9736  3 Tb 3.28-3.65, 4 Dy 3.33-3.55
Tb 0.6938 0.3062 0.2985  3 Ce 3.41-3.82, 5 Tb 3.45-3.77, 3 Dy 3.50-3.66, 1 Nd 3.50
Tb 0.7334 0.2666 0.6808  1 Nd 3.07, 1 Dy 3.31, 1 Ce 3.37
Tb 0.9874 0.0126 0.0000  1 Dy 3.28, 2 Nd 3.50, 2 Tb 3.64
Ce 0.1941 0.8059 0.4914  2 Dy 3.30-3.37, 5 Tb 3.37-3.50, 2 Nd 3.67
Ce 0.8059 0.1941 0.9914  2 Dy 3.30-3.37, 5 Tb 3.37-3.50, 2 Nd 3.67
Nd 0.4031 0.5969 0.0908  3 Tb 3.07-3.43
Nd 0.5969 0.4031 0.5908  3 Tb 3.07-3.43
Dy 0.1133 0.8867 0.1916  8 Tb 3.28-3.55, 1 Ce 3.37
Dy 0.1367 0.8633 0.8096  1 Ce 3.30, 3 Tb 3.33-3.66, 2 Nd 3.65
Dy 0.8633 0.1367 0.3096  1 Ce 3.30, 3 Tb 3.33-3.66, 2 Nd 3.65
Dy 0.8867 0.1133 0.6916  8 Tb 3.28-3.55, 1 Ce 3.37

Results
Formation energy, eV/atom: 0.17
Calculated total energy, eV/atom: -4.61
Total moment, Bohr magnetons per cell: 1.60



# 4
First-principles (PBE) data for an optimized crystal structure of Ti2VGeH, as listed in Alexandria.

Cell: 4.1523 4.1523 3.5988 Å, 90.00 90.00 90.00°
Closest atoms and distances in Å follow each position.
Element x y z (fractional)
Ti 0.0000 0.5000 0.0000  2 H 2.08
Ti 0.5000 0.0000 0.0000  2 H 2.08
V 0.0000 0.0000 0.5000  2 H 1.80
Ge 0.5000 0.5000 0.5000  8 Ti 2.75, 4 V 2.94
H 0.0000 0.0000 0.0000  2 V 1.80

Results
Calculated total energy, eV/atom: -7.01
Total moment, Bohr magnetons per cell: 0.00



# 5
First-principles (PBE) data for an optimized crystal structure of SrZnTcB2, as listed in Alexandria.

Cell: 4.2350 4.2350 5.5589 Å, 90.00 90.00 90.00°
Closest atoms and distances in Å follow each position.
Element x y z (fractional)
Sr 0.0000 0.0000 0.0000  2 Tc 2.78, 4 Zn 2.99
Zn 0.5000 0.5000 0.0000  4 Sr 2.99
Tc 0.0000 0.0000 0.5000  4 B 2.12
B 0.0000 0.5000 0.5000  2 Tc 2.12
B 0.5000 0.0000 0.5000  2 Tc 2.12

Results
Formation energy, eV/atom: 0.95
Calculated total energy, eV/atom: -4.38
Total moment, Bohr magnetons per cell: 0.00



# 6
First-principles (PBE) data for an optimized crystal structure of SrCrRu4, as listed in Alexandria.

Cell: 5.2922 5.2922 5.2922 Å, 60.00 60.00 60.00°
Closest atoms and distances in Å follow each position.
Element x y z (fractional)
Sr 0.0000 0.0000 0.0000  12 Ru 3.10, 4 Cr 3.24
Cr 0.7500 0.7500 0.7500  12 Ru 3.10, 4 Sr 3.24
Ru 0.3758 0.3758 0.3758  6 Ru 2.63-2.66
Ru 0.3758 0.3758 0.8726  6 Ru 2.63-2.66
Ru 0.3758 0.8726 0.3758  6 Ru 2.63-2.66
Ru 0.8726 0.3758 0.3758  6 Ru 2.63-2.66

Results
Formation energy, eV/atom: 0.53
Calculated total energy, eV/atom: -7.53
Total moment, Bohr magnetons per cell: 0.83



# 7
First-principles (PBE) data for an optimized crystal structure of BaAu2Cl6, as listed in Alexandria.

Cell: 9.3749 9.3749 7.6276 Å, 112.69 112.69 89.91°
Closest atoms and distances in Å follow each position.
Element x y z (fractional)
Ba 0.1676 0.8324 0.7500  8 Cl 3.19-3.56
Ba 0.8324 0.1676 0.2500  8 Cl 3.19-3.56
Au 0.2831 0.4066 0.3405  4 Cl 2.38-2.53
Au 0.4066 0.2831 0.8405  4 Cl 2.38-2.53
Au 0.5934 0.7169 0.1595  4 Cl 2.38-2.53
Au 0.7169 0.5934 0.6595  4 Cl 2.38-2.53
Cl 0.0580 0.5302 0.3149  1 Au 2.38
Cl 0.1190 0.1487 0.1199  1 Au 2.43
Cl 0.1487 0.1190 0.6199  1 Au 2.43
Cl 0.3282 0.5417 0.9234  2 Au 2.45-2.53
Cl 0.4583 0.6718 0.5766  2 Au 2.45-2.53
Cl 0.4698 0.9420 0.1851  1 Au 2.38
Cl 0.5302 0.0580 0.8149  1 Au 2.38
Cl 0.5417 0.3282 0.4234  2 Au 2.45-2.53
Cl 0.6718 0.4583 0.0766  2 Au 2.45-2.53
Cl 0.8513 0.8810 0.3801  1 Au 2.43
Cl 0.8810 0.8513 0.8801  1 Au 2.43
Cl 0.9420 0.4698 0.6851  1 Au 2.38

Results
Calculated total energy, eV/atom: -3.12
Uncorrected formation energy, meV/atom: -945
Total moment, Bohr magnetons per cell: 0.00
Polymorph energy (0 for the lowest one), eV/atom: 0.007



# 8
First-principles (PBE) data for an optimized crystal structure of NiPb2Se, as listed in Alexandria.

Cell: 3.5682 3.5441 7.1650 Å, 90.00 90.40 90.00°
Closest atoms and distances in Å follow each position.
Element x y z (fractional)
Ni 0.0000 0.0000 0.0000  8 Pb 2.99-3.01
Pb 0.4998 0.5000 0.2284  4 Ni 2.99-3.01, 4 Se 3.17-3.19, 1 Pb 3.27
Pb 0.5002 0.5000 0.7716  4 Ni 2.99-3.01, 4 Se 3.17-3.19, 1 Pb 3.27
Se 0.0000 0.0000 0.5000  8 Pb 3.17-3.19, 2 Se 3.54

Results
Calculated total energy, eV/atom: -4.04
Uncorrected formation energy, meV/atom: 135
Total moment, Bohr magnetons per cell: 0.00



# 9
First-principles (PBE) data for an optimized crystal structure of Eu3Zn, as listed in Alexandria.

Cell: 6.9480 6.9480 6.9480 Å, 147.12 60.35 130.92°
Closest atoms and distances in Å follow each position.
Element x y z (fractional)
Eu 0.0004 0.0004 0.0000  4 Zn 3.49-3.50, 4 Eu 3.81
Eu 0.2930 0.5000 0.7930  2 Zn 3.17
Eu 0.7070 0.5000 0.2070  2 Zn 3.17
Zn 0.5015 0.0015 0.5000  8 Eu 3.17-3.50

Results
Formation energy, eV/atom: -0.09
Calculated total energy, eV/atom: -8.12
Total moment, Bohr magnetons per cell: 22.74



# 10
First-principles (PBE) data for an optimized crystal structure of NiAsS2, as listed in Alexandria.

Cell: 7.3277 7.3277 7.3277 Å, 29.26 29.26 29.26°
Closest atoms and distances in Å follow each position.
Element x y z (fractional)
Ni 0.0000 0.0000 0.0000  2 S 2.09
As 0.5000 0.5000 0.5000  6 S 2.56
S 0.0996 0.0996 0.0996  1 Ni 2.09
S 0.9004 0.9004 0.9004  1 Ni 2.09

Results
Calculated total energy, eV/atom: -4.52
Uncorrected formation energy, meV/atom: 153
Total moment, Bohr magnetons per cell: 1.00



# 11
First-principles (PBE) data for an optimized crystal structure of LiLuScGe, as listed in Alexandria.

Cell: 4.8075 4.8075 4.8075 Å, 60.00 60.00 60.00°
Closest atoms and distances in Å follow each position.
Element x y z (fractional)
Li 0.0000 0.0000 0.0000  4 Sc 2.94, 4 Lu 2.94
Lu 0.2500 0.2500 0.2500  4 Ge 2.94, 4 Li 2.94
Sc 0.7500 0.7500 0.7500  4 Ge 2.94, 4 Li 2.94
Ge 0.5000 0.5000 0.5000  4 Sc 2.94, 4 Lu 2.94

Results
Formation energy, eV/atom: -0.40
Calculated total energy, eV/atom: -4.74
Total moment, Bohr magnetons per cell: 0.00